No. 1
# Cs2GaSnAu6 | Alexandria | PBE | optimized geometry
# Energy relative to the elements ... -2.16 eV per formula unit
data_Cs2GaSnAu6
_symmetry_space_group_name_H-M 'C 1 2/m 1'
_symmetry_Int_Tables_number 12
_symmetry_space_group_name_Hall '-C 2y'
_cell_length_a 10.4401
_cell_length_b 10.7029
_cell_length_c 7.2984
_cell_angle_alpha 90.00
_cell_angle_beta 134.24
_cell_angle_gamma 90.00
loop_
_atom_site_label
_atom_site_fract_x
_atom_site_fract_y
_atom_site_fract_z
Cs1 0.0000 0.2023 0.0000
Ga1 0.0000 0.5000 0.5000
Sn1 0.0000 0.0000 0.5000
Au1 0.0000 0.2600 0.5000
Au2 0.1853 0.5000 0.3821
Au3 0.1860 0.5000 0.9883



No. 2
# Sm3NiPd | Alexandria | PBE | optimized geometry
# Energy relative to the elements ... -2.35 eV per formula unit
data_Sm3NiPd
_symmetry_space_group_name_H-M 'P 1 21/c 1'
_symmetry_Int_Tables_number 14
_symmetry_space_group_name_Hall '-P 2ybc'
_cell_length_a 8.7982
_cell_length_b 7.3441
_cell_length_c 8.1454
_cell_angle_alpha 90.00
_cell_angle_beta 104.65
_cell_angle_gamma 90.00
loop_
_atom_site_label
_atom_site_fract_x
_atom_site_fract_y
_atom_site_fract_z
Sm1 0.0500 0.0099 0.2183
Sm2 0.2802 0.6500 0.1122
Sm3 0.3484 0.1824 0.9960
Ni1 0.0590 0.1723 0.5260
Pd1 0.4151 0.5367 0.8193



No. 3
# CeNbN | Alexandria | PBE | optimized geometry
# Energy above the lowest structure with this stoichiometry ... 0.0 meV/atom
# ΔE_f (raw) ... -2.4 eV per formula unit
data_CeNbN
_symmetry_space_group_name_H-M 'P -3 m 1'
_symmetry_Int_Tables_number 164
_symmetry_space_group_name_Hall '-P 3 2"'
_cell_length_a 3.2207
_cell_length_b 3.2207
_cell_length_c 11.6354
_cell_angle_alpha 90.00
_cell_angle_beta 90.00
_cell_angle_gamma 120.00
loop_
_atom_site_label
_atom_site_fract_x
_atom_site_fract_y
_atom_site_fract_z
Ce1 0.3333 0.6667 0.3405
Nb1 0.3333 0.6667 0.8944
N1 0.0000 0.0000 0.2032



No. 4
# Cs2In2Hg | Alexandria | PBE | optimized geometry
# Energy above the lowest structure with this stoichiometry ... 170.5 meV/atom
# Energy relative to the elements ... 0.41 eV per formula unit
data_Cs2In2Hg
_symmetry_space_group_name_H-M 'P 4/m b m'
_symmetry_Int_Tables_number 127
_symmetry_space_group_name_Hall '-P 4 2ab'
_cell_length_a 11.5465
_cell_length_b 11.5465
_cell_length_c 3.9114
_cell_angle_alpha 90.00
_cell_angle_beta 90.00
_cell_angle_gamma 90.00
loop_
_atom_site_label
_atom_site_fract_x
_atom_site_fract_y
_atom_site_fract_z
Cs1 0.2019 0.2981 0.0000
In1 0.0863 0.5863 0.5000
Hg1 0.0000 0.0000 0.0000



No. 5
# CaYTm2Hg4 | Alexandria | PBE | optimized geometry
# Energy relative to the elements ... -4.07 eV per formula unit
data_CaYTm2Hg4
_symmetry_space_group_name_H-M 'R -3 m'
_symmetry_Int_Tables_number 166
_symmetry_space_group_name_Hall '-R 3 2"'
_cell_length_a 5.2369
_cell_length_b 5.2369
_cell_length_c 25.6958
_cell_angle_alpha 90.00
_cell_angle_beta 90.00
_cell_angle_gamma 120.00
loop_
_atom_site_label
_atom_site_fract_x
_atom_site_fract_y
_atom_site_fract_z
Ca1 0.0000 0.0000 0.0000
Y1 0.0000 0.0000 0.5000
Tm1 0.0000 0.0000 0.2511
Hg1 0.0000 0.0000 0.1257
Hg2 0.0000 0.0000 0.3759



No. 6
# Sn3HgB | Alexandria | PBE | optimized geometry
# Energy above the lowest structure with this stoichiometry ... 0.0 meV/atom
# Energy relative to the elements ... 2.66 eV per formula unit
data_Sn3HgB
_symmetry_space_group_name_H-M 'P m -3 m'
_symmetry_Int_Tables_number 221
_symmetry_space_group_name_Hall '-P 4 2 3'
_cell_length_a 4.9256
_cell_length_b 4.9256
_cell_length_c 4.9256
_cell_angle_alpha 90.00
_cell_angle_beta 90.00
_cell_angle_gamma 90.00
loop_
_atom_site_label
_atom_site_fract_x
_atom_site_fract_y
_atom_site_fract_z
Sn1 0.0000 0.0000 0.5000
Hg1 0.5000 0.5000 0.5000
B1 0.0000 0.0000 0.0000